1.
Entry from OQMD: an optimized crystal structure of BaHf2Au (PBE).

a = 5.2419 Å, b = 5.2419 Å, c = 5.2419 Å
α = 60.00°, β = 60.00°, γ = 60.00°
Sites, in units of the cell vectors:
1 Ba 0.0000 0.0000 0.0000
2 Hf 0.5000 0.5000 0.5000
3 Hf 0.7500 0.7500 0.7500
4 Au 0.2500 0.2500 0.2500

Computed properties:
* space-group type: F-43m
* final energy: -5.791 eV per atom

=====

2.
Entry from OQMD: an optimized crystal structure of LaNdB2Pt2N2 (PBE).

a = 3.8269 Å, b = 3.8269 Å, c = 7.7913 Å
α = 90.00°, β = 90.00°, γ = 90.00°
Sites, in units of the cell vectors:
1 La 0.0000 0.0000 0.0000
2 Nd 0.5000 0.5000 0.6712
3 B 0.0000 0.0000 0.5007
4 B 0.5000 0.5000 0.1717
5 Pt 0.0000 0.5000 0.3383
6 Pt 0.5000 0.0000 0.3383
7 N 0.0000 0.0000 0.6855
8 N 0.5000 0.5000 0.9868

Computed properties:
* space-group type: P4mm
* final energy: -7.590 eV per atom

=====

3.
Entry from OQMD: an optimized crystal structure of CsPmY (PBE).

a = 6.0913 Å, b = 6.0913 Å, c = 6.0913 Å
α = 60.00°, β = 60.00°, γ = 60.00°
Sites, in units of the cell vectors:
1 Cs 0.0000 0.0000 0.0000
2 Pm 0.2500 0.2500 0.2500
3 Y 0.5000 0.5000 0.5000

Computed properties:
* space-group type: F-43m
* E above lowest polymorph: 0.0079 eV per atom

=====

4.
Entry from OQMD: an optimized crystal structure of ZrTeSeS (PBE).

a = 5.3321 Å, b = 3.8378 Å, c = 10.2020 Å
α = 90.00°, β = 98.65°, γ = 90.00°
Sites, in units of the cell vectors:
1 Zr 0.2034 0.2500 0.3491
2 Zr 0.7966 0.7500 0.6509
3 Te 0.3855 0.7500 0.1590
4 Te 0.6145 0.2500 0.8410
5 Se 0.2681 0.7500 0.5482
6 Se 0.7319 0.2500 0.4518
7 S 0.0562 0.2500 0.7878
8 S 0.9438 0.7500 0.2122

Computed properties:
* space-group type: P2_1/m
* E above lowest polymorph: 0.0171 eV per atom

=====

5.
Entry from OQMD: an optimized crystal structure of AcDyPa (PBE).

a = 5.4226 Å, b = 5.4226 Å, c = 5.4226 Å
α = 60.00°, β = 60.00°, γ = 60.00°
Sites, in units of the cell vectors:
1 Ac 0.0000 0.0000 0.0000
2 Dy 0.2500 0.2500 0.2500
3 Pa 0.5000 0.5000 0.5000

Computed properties:
* space-group type: F-43m
* E above lowest polymorph: 0.0000 eV per atom

=====

6.
Entry from OQMD: an optimized crystal structure of PrSiB4 (PBE).

a = 5.2454 Å, b = 5.2454 Å, c = 5.2454 Å
α = 144.32°, β = 121.09°, γ = 70.82°
Sites, in units of the cell vectors:
1 Pr 0.0000 0.0000 0.0000
2 Si 0.5000 0.5000 0.0000
3 B 0.0623 0.7390 0.3233
4 B 0.4157 0.7390 0.6767
5 B 0.5843 0.2610 0.3233
6 B 0.9377 0.2610 0.6767

Computed properties:
* space-group type: Immm
* E above lowest polymorph: 0.0000 eV per atom

=====

7.
Entry from OQMD: an optimized crystal structure of RbHoCdS3 (PBE).

a = 8.8447 Å, b = 8.8447 Å, c = 8.9833 Å
α = 102.55°, β = 102.55°, γ = 26.62°
Sites, in units of the cell vectors:
1 Rb 0.1479 0.1479 0.0639
2 Rb 0.8521 0.8521 0.9361
3 Ho 0.1693 0.1693 0.5797
4 Ho 0.8307 0.8307 0.4203
5 Cd 0.4959 0.4959 0.2799
6 Cd 0.5041 0.5041 0.7201
7 S 0.0000 0.0000 0.5000
8 S 0.3321 0.3321 0.6285
9 S 0.3391 0.3391 0.2282
10 S 0.5000 0.5000 0.0000
11 S 0.6609 0.6609 0.7718
12 S 0.6679 0.6679 0.3715

Computed properties:
* space-group type: C2/m
* final energy: -4.488 eV per atom

=====

8.
Entry from OQMD: an optimized crystal structure of Sm3Te2Pb (PBE).

a = 7.7555 Å, b = 7.7555 Å, c = 7.7603 Å
α = 99.65°, β = 99.65°, γ = 120.01°
Sites, in units of the cell vectors:
1 Sm 0.0000 0.5000 0.5000
2 Sm 0.1625 0.3248 0.9997
3 Sm 0.3248 0.1625 0.4997
4 Sm 0.5000 0.0000 0.0000
5 Sm 0.6752 0.8375 0.5003
6 Sm 0.8375 0.6752 0.0003
7 Te 0.2517 0.7483 0.2500
8 Te 0.4169 0.5831 0.7500
9 Te 0.5831 0.4169 0.2500
10 Te 0.7483 0.2517 0.7500
11 Pb 0.0851 0.9149 0.7500
12 Pb 0.9149 0.0851 0.2500

Computed properties:
* space-group type: C2/c
* final energy: -5.190 eV per atom

=====

Please write out number 2 again, unchanged.
Entry from OQMD: an optimized crystal structure of LaNdB2Pt2N2 (PBE).

a = 3.8269 Å, b = 3.8269 Å, c = 7.7913 Å
α = 90.00°, β = 90.00°, γ = 90.00°
Sites, in units of the cell vectors:
1 La 0.0000 0.0000 0.0000
2 Nd 0.5000 0.5000 0.6712
3 B 0.0000 0.0000 0.5007
4 B 0.5000 0.5000 0.1717
5 Pt 0.0000 0.5000 0.3383
6 Pt 0.5000 0.0000 0.3383
7 N 0.0000 0.0000 0.6855
8 N 0.5000 0.5000 0.9868

Computed properties:
* space-group type: P4mm
* final energy: -7.590 eV per atom